Record 1
Entry from Alexandria via LeMat-Bulk: a relaxed structure of CuAsP (PBE).

abc: 2.7888 3.6913 10.6460
angles: 90.00 90.00 90.00
Space group Imm2 (No. 44)
Inequivalent atoms, fractional coordinates:
Cu: 0.0000 0.0000 0.0000 x2
As: 0.0000 0.0000 0.3588 x2
P: 0.0000 0.0000 0.5832 x2

energy relative to the lowest polymorph listed for this composition = 22.2 kJ per mole of atoms
formation energy from the elements = 0.802 eV per formula unit

---

Record 2
Entry from Alexandria via LeMat-Bulk: a relaxed structure of TbDy2Ir9 (PBE).

abc: 5.3100 5.3100 26.3435
angles: 90.00 90.00 120.00
Space group R-3m (No. 166, hexagonal axes)
Inequivalent atoms, fractional coordinates:
Tb: 0.0000 0.0000 0.0000 x3
Dy: 0.0000 0.0000 0.1393 x6
Ir: 0.0000 0.0000 0.3328 x6
Ir: 0.0000 0.0000 0.5000 x3
Ir: 0.0007 0.5003 0.0821 x18

formation energy from the elements = -7.046 eV per formula unit

---

Record 3
Entry from Alexandria via LeMat-Bulk: a relaxed structure of Ac5Nd4Sm (PBE).

abc: 3.8936 3.8936 26.1812
angles: 90.00 90.00 90.00
Space group P4/mmm (No. 123)
Inequivalent atoms, fractional coordinates:
Ac: 0.0000 0.0000 0.0000 x1
Ac: 0.0000 0.0000 0.2006 x2
Ac: 0.0000 0.0000 0.4012 x2
Nd: 0.5000 0.5000 0.1002 x2
Nd: 0.5000 0.5000 0.3011 x2
Sm: 0.5000 0.5000 0.5000 x1

energy relative to the lowest polymorph listed for this composition = 0.4 kJ per mole of atoms
formation energy from the elements = 0.301 eV per formula unit

---

Record 4
Entry from Alexandria via LeMat-Bulk: a relaxed structure of Na2InSiTe4 (PBE).

abc: 9.7303 8.5578 7.3583
angles: 90.00 90.00 90.00
Space group Pmn2_1 (No. 31)
Inequivalent atoms, fractional coordinates:
Na: 0.2439 0.1753 0.0000 x4
In: 0.0000 0.3310 0.4926 x2
Si: 0.0000 0.6628 0.0165 x2
Te: 0.0000 0.3860 0.8917 x2
Te: 0.0000 0.6516 0.3628 x2
Te: 0.2187 0.8111 0.9239 x4

formation energy (no corrections) = -39.90 kJ/mol of atoms

---

Record 5
Entry from Alexandria via LeMat-Bulk: a relaxed structure of TlPb2ClO2 (PBE).

abc: 6.2510 6.1917 9.1943
angles: 90.00 106.41 90.00
Space group P2_1/m (No. 11)
Inequivalent atoms, fractional coordinates:
Tl: 0.2070 0.2500 0.4665 x2
Pb: 0.1261 0.2500 0.8518 x2
Pb: 0.3824 0.7500 0.7585 x2
Cl: 0.3703 0.7500 0.0750 x2
O: 0.1195 0.5020 0.6811 x4

formation energy (no corrections) = -93.95 kJ/mol of atoms

---

Record 6
Entry from Alexandria via LeMat-Bulk: a relaxed structure of NaIn3Br4 (PBE).

abc: 9.2237 10.3038 6.4758
angles: 90.00 90.00 90.00
Space group Pmn2_1 (No. 31)
Inequivalent atoms, fractional coordinates:
Na: 0.0000 0.2060 0.0000 x2
In: 0.0000 0.9019 0.5026 x2
In: 0.1959 0.6469 0.0027 x4
Br: 0.0000 0.2365 0.5030 x2
Br: 0.0000 0.9283 0.0027 x2
Br: 0.2255 0.6643 0.5030 x4

formation energy (no corrections) = -81.28 kJ/mol of atoms
energy relative to the lowest polymorph listed for this composition = 1.9 kJ per mole of atoms

---

Record 7
Entry from Alexandria via LeMat-Bulk: a relaxed structure of La4TlAg3 (PBE).

abc: 5.4700 5.4700 26.7775
angles: 90.00 90.00 120.00
Space group R-3m (No. 166, hexagonal axes)
Inequivalent atoms, fractional coordinates:
La: 0.0000 0.0000 0.1210 x6
La: 0.0000 0.0000 0.3718 x6
Tl: 0.0000 0.0000 0.5000 x3
Ag: 0.0000 0.0000 0.0000 x3
Ag: 0.0000 0.0000 0.2466 x6

energy relative to the lowest polymorph listed for this composition = 0.0 kJ per mole of atoms
formation energy from the elements = -2.391 eV per formula unit

---

Record 8
Entry from Alexandria via LeMat-Bulk: a relaxed structure of PaGaFeRe (PBE).

abc: 6.4346 6.4346 6.4346
angles: 90.00 90.00 90.00
Space group F-43m (No. 216)
Inequivalent atoms, fractional coordinates:
Pa: 0.0000 0.0000 0.0000 x4
Ga: 0.0000 0.0000 0.5000 x4
Fe: 0.2500 0.2500 0.2500 x4
Re: 0.2500 0.2500 0.7500 x4

formation energy from the elements = 0.023 eV per formula unit

---

Per-record energy, eV per atom: -4.451; -8.386; -4.403; -3.334; -4.565; -2.871; -4.128; -8.353
Per-record calculated density, g/cm³: 5.13; 17.14; 7.79; 3.79; 6.68; 3.71; 7.78; 13.53
Per-record magnetic moment, μB per cell: 0.0; 0.0; 0.0; 0.0; 0.0; 0.0; 1.5; 0.0